No. 1
LiAl2Ag at its PBEsol-relaxed geometry. Source: Alexandria, functional meta-GGA SCAN.

The calculation puts the total magnetic moment at 0.005 μB/atom. Its distance to the lowest polymorph of the same formula is 0.041 eV/atom. For the energy of formation from the pure elements, the calculation gives -145 meV/atom.

a = 9.123 Å, b = 2.841 Å, c = 4.939 Å
α = 90.00°, β = 100.14°, γ = 90.00°
Space group C2/m (No. 12)
Asymmetric unit:
Li 0.000 0.000 0.000 (multiplicity 2)
Al 0.244 0.000 0.749 (multiplicity 4)
Ag 0.000 0.500 0.500 (multiplicity 2)

***

No. 2
CuSb at its PBEsol-relaxed geometry. Source: Alexandria, functional meta-GGA SCAN.

The calculation puts the total magnetic moment at 0.000 μB/atom. The calculation puts the uncorrected formation energy at 36 kJ/mol of formula units.

a = 3.9865 Å, b = 3.9865 Å, c = 2.9576 Å
α = 90.00°, β = 90.00°, γ = 120.00°
Space group P-6m2 (No. 187)
Asymmetric unit:
Cu 0.0000 0.0000 0.0000 (multiplicity 1)
Sb 0.3333 0.6667 0.5000 (multiplicity 1)

***

No. 3
Tl2ZnNi at its PBEsol-relaxed geometry. Source: Alexandria, functional meta-GGA SCAN.

The calculation puts the total magnetic moment at 0.000 μB/atom. Its distance to the lowest polymorph of the same formula is 0.078 eV/atom. For the energy of formation from the pure elements, the calculation gives 366 meV/atom.

a = 3.3380 Å, b = 3.3380 Å, c = 24.1813 Å
α = 90.00°, β = 90.00°, γ = 120.00°
Space group R-3m (No. 166, hexagonal axes)
Asymmetric unit:
Tl 0.0000 0.0000 0.2424 (multiplicity 6)
Zn 0.0000 0.0000 0.0000 (multiplicity 3)
Ni 0.0000 0.0000 0.5000 (multiplicity 3)

***

No. 4
MgZr2Pb at its PBEsol-relaxed geometry. Source: Alexandria, functional meta-GGA SCAN.

The calculation puts the total magnetic moment at 0.000 μB/atom. For the energy of formation from the pure elements, the calculation gives -216 meV/atom.

a = 3.286 Å, b = 4.286 Å, c = 6.224 Å
α = 90.00°, β = 90.00°, γ = 90.00°
Space group Pmmm (No. 47)
Asymmetric unit:
Mg 0.000 0.000 0.000 (multiplicity 1)
Zr 0.500 0.500 0.248 (multiplicity 2)
Pb 0.000 0.000 0.500 (multiplicity 1)

***

No. 5
MgReO3 at its PBEsol-relaxed geometry. Source: Alexandria, functional meta-GGA SCAN.

The calculation puts the total magnetic moment at 0.000 μB/atom. The calculation puts the uncorrected formation energy at -671 kJ/mol of formula units.

a = 3.884 Å, b = 3.884 Å, c = 3.884 Å
α = 90.00°, β = 90.00°, γ = 90.00°
Space group Pm-3m (No. 221)
Asymmetric unit:
Mg 0.000 0.000 0.000 (multiplicity 1)
Re 0.500 0.500 0.500 (multiplicity 1)
O 0.000 0.500 0.500 (multiplicity 3)

***

No. 6
Tl2PO3 at its PBEsol-relaxed geometry. Source: Alexandria, functional meta-GGA SCAN.

The calculation puts the total magnetic moment at 0.000 μB/atom. The calculation puts the uncorrected formation energy at -965 kJ/mol of formula units.

a = 5.408 Å, b = 13.061 Å, c = 12.370 Å
α = 90.00°, β = 90.00°, γ = 90.00°
Space group Pbca (No. 61)
Asymmetric unit:
Tl 0.001 0.077 0.151 (multiplicity 8)
Tl 0.063 0.719 0.644 (multiplicity 8)
P 0.022 0.565 0.944 (multiplicity 8)
O 0.095 0.035 0.664 (multiplicity 8)
O 0.109 0.159 0.506 (multiplicity 8)
O 0.193 0.080 0.939 (multiplicity 8)

***

No. 7
LiRh2 at its PBEsol-relaxed geometry. Source: Alexandria, functional meta-GGA SCAN.

The calculation puts the total magnetic moment at 0.000 μB/atom. For the energy of formation from the pure elements, the calculation gives -161 meV/atom.

a = 9.642 Å, b = 2.639 Å, c = 6.425 Å
α = 90.00°, β = 105.77°, γ = 90.00°
Space group Cm (No. 8)
Asymmetric unit:
Li 0.000 0.000 0.000 (multiplicity 2)
Li 0.154 0.500 0.349 (multiplicity 2)
Rh 0.048 0.000 0.629 (multiplicity 2)
Rh 0.234 0.500 0.958 (multiplicity 2)
Rh 0.322 0.000 0.668 (multiplicity 2)
Rh 0.376 0.000 0.295 (multiplicity 2)

***

No. 8
MgAu at its PBEsol-relaxed geometry. Source: Alexandria, functional meta-GGA SCAN.

The calculation puts the total magnetic moment at 0.000 μB/atom. For the energy of formation from the pure elements, the calculation gives -656 meV/atom.

a = 9.887 Å, b = 3.228 Å, c = 7.054 Å
α = 90.00°, β = 109.66°, γ = 90.00°
Space group Cm (No. 8)
Asymmetric unit:
Mg 0.000 0.000 0.000 (multiplicity 2)
Mg 0.051 0.000 0.591 (multiplicity 2)
Mg 0.335 0.000 0.246 (multiplicity 2)
Au 0.135 0.500 0.331 (multiplicity 2)
Au 0.205 0.500 0.913 (multiplicity 2)
Au 0.349 0.000 0.667 (multiplicity 2)

***

No. 9
ScCrAu2 at its PBEsol-relaxed geometry. Source: Alexandria, functional meta-GGA SCAN.

The calculation puts the total magnetic moment at 0.833 μB/atom. For the energy of formation from the pure elements, the calculation gives -19 meV/atom.

a = 2.9666 Å, b = 2.9666 Å, c = 26.7619 Å
α = 90.00°, β = 90.00°, γ = 120.00°
Space group R3m (No. 160, hexagonal axes)
Asymmetric unit:
Sc 0.0000 0.0000 0.0000 (multiplicity 3)
Cr 0.0000 0.0000 0.7465 (multiplicity 3)
Au 0.0000 0.0000 0.2475 (multiplicity 3)
Au 0.0000 0.0000 0.4921 (multiplicity 3)

***

No. 10
Li2RhN2 at its PBEsol-relaxed geometry. Source: Alexandria, functional meta-GGA SCAN.

The calculation puts the total magnetic moment at 0.000 μB/atom. The calculation puts the uncorrected formation energy at -168 kJ/mol of formula units.

a = 4.976 Å, b = 4.976 Å, c = 3.503 Å
α = 90.00°, β = 90.00°, γ = 90.00°
Space group P4/mbm (No. 127)
Asymmetric unit:
Li 0.176 0.324 0.000 (multiplicity 4)
Rh 0.000 0.000 0.500 (multiplicity 2)
N 0.100 0.600 0.500 (multiplicity 4)

***

No. 11
RbNaP2S at its PBEsol-relaxed geometry. Source: Alexandria, functional meta-GGA SCAN.

The calculation puts the total magnetic moment at 0.252 μB/atom. Its distance to the lowest polymorph of the same formula is 0.000 eV/atom. The calculation puts the uncorrected formation energy at 307 kJ/mol of formula units.

a = 4.982 Å, b = 4.982 Å, c = 5.097 Å
α = 90.00°, β = 90.00°, γ = 90.00°
Space group P4/mmm (No. 123)
Asymmetric unit:
Rb 0.000 0.000 0.000 (multiplicity 1)
Na 0.500 0.500 0.500 (multiplicity 1)
P 0.000 0.500 0.500 (multiplicity 2)
S 0.500 0.500 0.000 (multiplicity 1)

***

No. 12
Sc2CoAu at its PBEsol-relaxed geometry. Source: Alexandria, functional meta-GGA SCAN.

The calculation puts the total magnetic moment at 0.313 μB/atom. For the energy of formation from the pure elements, the calculation gives -742 meV/atom.

a = 4.554 Å, b = 4.554 Å, c = 3.255 Å
α = 90.00°, β = 90.00°, γ = 90.00°
Space group P4/mmm (No. 123)
Asymmetric unit:
Sc 0.000 0.500 0.000 (multiplicity 2)
Co 0.000 0.000 0.500 (multiplicity 1)
Au 0.500 0.500 0.500 (multiplicity 1)